A geometry-optimized Na4B5C3 structure, computed with PBE.

Cell and atoms, written as POSCAR:
```
Na4B5C3
1.0
5.062 0.000 0.000
0.000 2.811 0.000
-0.012 0.000 17.049
Na B C
8 10 6
direct
0.000 0.000 0.000 Na
0.000 0.000 0.246 Na
0.000 0.000 0.500 Na
0.000 0.000 0.754 Na
0.498 0.500 0.247 Na
0.500 0.500 0.000 Na
0.500 0.500 0.500 Na
0.502 0.500 0.753 Na
0.137 0.500 0.627 B
0.170 0.500 0.123 B
0.321 0.000 0.373 B
0.330 0.000 0.877 B
0.348 0.000 0.627 B
0.652 0.000 0.373 B
0.670 0.000 0.123 B
0.679 0.000 0.627 B
0.830 0.500 0.877 B
0.863 0.500 0.373 B
0.165 0.500 0.373 C
0.165 0.500 0.877 C
0.335 0.000 0.123 C
0.665 0.000 0.877 C
0.835 0.500 0.123 C
0.835 0.500 0.627 C
```

DOS at the Fermi energy in states/eV per cell: 2.96
Energy relative to the lowest polymorph listed for this composition in meV/atom: 19.2
ΔH_f (0 K) in eV per atom: 0.080
SG: P2/m